1.
Here is an optimized crystal structure of Dy5Pb4O from the Alexandria database. Energies are from GGA-PBE.

- Magnetization: 0.0 μB/f.u.
- Raw formation energy: -790 meV per atom
- Crystal system: tetragonal
- Electronic total energy: -50.703 eV for the cell shown

abc: 7.332 7.332 7.332
angles: 100.42 100.42 129.67
Fractional coordinates of all 10 atoms:
Dy (0.000, 0.000, 0.000)
Dy (0.328, 0.675, 0.872)
Dy (0.455, 0.328, 0.652)
Dy (0.675, 0.803, 0.348)
Dy (0.803, 0.455, 0.128)
Pb (0.005, 0.745, 0.607)
Pb (0.138, 0.398, 0.393)
Pb (0.398, 0.005, 0.260)
Pb (0.745, 0.138, 0.740)
O (0.636, 0.636, 0.000)

=====

2.
Here is an optimized crystal structure of Dy6PbO12 from the Alexandria database. Energies are from GGA-PBE.

- Magnetization: 2.1 μB/f.u.
- Raw formation energy: -2919 meV per atom
- Crystal system: trigonal
- Electronic total energy: -146.288 eV for the cell shown

abc: 6.581 6.581 6.581
angles: 99.33 99.33 99.33
Fractional coordinates of all 19 atoms:
Dy (0.108, 0.801, 0.639)
Dy (0.199, 0.361, 0.892)
Dy (0.361, 0.892, 0.199)
Dy (0.639, 0.108, 0.801)
Dy (0.801, 0.639, 0.108)
Dy (0.892, 0.199, 0.361)
Pb (0.500, 0.500, 0.500)
O (0.064, 0.919, 0.321)
O (0.081, 0.679, 0.936)
O (0.180, 0.434, 0.560)
O (0.321, 0.064, 0.919)
O (0.434, 0.560, 0.180)
O (0.440, 0.820, 0.566)
O (0.560, 0.180, 0.434)
O (0.566, 0.440, 0.820)
O (0.679, 0.936, 0.081)
O (0.820, 0.566, 0.440)
O (0.919, 0.321, 0.064)
O (0.936, 0.081, 0.679)